No. 1
! NaMg3Fe, PBEsol geometry, DFT meta-GGA SCAN; values from VASP
! **DOS at the Fermi energy**: 0.8452 states/eV/atom
! **Formation energy**: 1222 meV/atom
&SYSTEM
  ibrav = 0, nat = 5, ntyp = 3
/
ATOMIC_SPECIES
Na 22.99 Na.upf
Mg 24.30 Mg.upf
Fe 55.84 Fe.upf
ATOMIC_POSITIONS crystal
Na 0.0000 0.0000 0.0000
Mg 0.0000 0.5000 0.0000
Mg 0.0000 0.0000 0.5000
Mg 0.5000 0.0000 0.0000
Fe 0.5000 0.5000 0.5000
CELL_PARAMETERS angstrom
-0.0877 0.2896 -5.0142
-5.0182 0.2017 0.0995
0.2070 5.0109 0.2858

No. 2
! Y2Ga2Pb, PBEsol geometry, DFT meta-GGA SCAN; values from VASP
! **DOS at the Fermi energy**: 0.3913 states/eV/atom
! **Formation energy**: -740 meV/atom
&SYSTEM
  ibrav = 0, nat = 10, ntyp = 3
/
ATOMIC_SPECIES
Pb 207.20 Pb.upf
Y 88.91 Y.upf
Ga 69.72 Ga.upf
ATOMIC_POSITIONS crystal
Pb 0.0000 0.0000 0.0000
Pb 0.0000 0.5000 0.5000
Y 0.5000 0.1729 0.6729
Y 0.5000 0.6729 0.8271
Y 0.5000 0.8271 0.3271
Y 0.5000 0.3271 0.1729
Ga 0.0000 0.3788 0.8788
Ga 0.0000 0.8788 0.6212
Ga 0.0000 0.6212 0.1212
Ga 0.0000 0.1212 0.3788
CELL_PARAMETERS angstrom
-3.5237 2.1521 -1.2037
-3.5843 -2.6237 5.8018
2.1689 5.7567 3.9432

No. 3
! Ta2ZnCu, PBEsol geometry, DFT meta-GGA SCAN; values from VASP
! **DOS at the Fermi energy**: 0.7919 states/eV/atom
! **Formation energy**: 24 meV/atom
&SYSTEM
  ibrav = 0, nat = 4, ntyp = 3
/
ATOMIC_SPECIES
Cu 63.55 Cu.upf
Ta 180.95 Ta.upf
Zn 65.41 Zn.upf
ATOMIC_POSITIONS crystal
Cu 0.5000 0.0000 0.0000
Ta 0.0000 0.0000 0.5000
Ta 0.0000 0.5000 0.0000
Zn 0.5000 0.5000 0.5000
CELL_PARAMETERS angstrom
-1.1518 2.1954 2.9110
2.8516 -1.5344 2.2855
2.4804 2.8595 -1.1751

No. 4
! Cu2AgPb, PBEsol geometry, DFT meta-GGA SCAN; values from VASP
! **DOS at the Fermi energy**: 0.2616 states/eV/atom
! **Formation energy**: 269 meV/atom
&SYSTEM
  ibrav = 0, nat = 4, ntyp = 3
/
ATOMIC_SPECIES
Ag 107.87 Ag.upf
Cu 63.55 Cu.upf
Pb 207.20 Pb.upf
ATOMIC_POSITIONS crystal
Ag 0.5000 0.5000 0.5000
Cu 0.0000 0.5000 0.0000
Cu 0.0000 0.0000 0.5000
Pb 0.5000 0.0000 0.0000
CELL_PARAMETERS angstrom
3.4872 0.0000 0.0000
0.0000 4.3158 0.1040
0.0000 -0.0983 4.3160

No. 5
! Mg2TlSn2, PBEsol geometry, DFT meta-GGA SCAN; values from VASP
! **DOS at the Fermi energy**: 0.3657 states/eV/atom
! **Energy above the most stable polymorph in this dataset**: 0.00 kcal/mol of atoms
! **Formation energy**: -93 meV/atom
&SYSTEM
  ibrav = 0, nat = 10, ntyp = 3
/
ATOMIC_SPECIES
Mg 24.30 Mg.upf
Tl 204.38 Tl.upf
Sn 118.71 Sn.upf
ATOMIC_POSITIONS crystal
Mg 0.5000 0.1393 0.6393
Mg 0.5000 0.6393 0.8607
Mg 0.5000 0.8607 0.3607
Mg 0.5000 0.3607 0.1393
Tl 0.0000 0.0000 0.0000
Tl 0.0000 0.5000 0.5000
Sn 0.0000 0.3442 0.8442
Sn 0.0000 0.8442 0.6558
Sn 0.0000 0.6558 0.1558
Sn 0.0000 0.1558 0.3442
CELL_PARAMETERS angstrom
3.1833 0.0000 0.0000
0.0000 8.8687 0.0000
0.0000 0.0000 8.8687

No. 6
! Rb3BeHg, PBEsol geometry, DFT meta-GGA SCAN; values from VASP
! **DOS at the Fermi energy**: 0.8961 states/eV/atom
! **Formation energy**: 558 meV/atom
&SYSTEM
  ibrav = 0, nat = 5, ntyp = 3
/
ATOMIC_SPECIES
Be 9.01 Be.upf
Hg 200.59 Hg.upf
Rb 85.47 Rb.upf
ATOMIC_POSITIONS crystal
Be 0.5000 0.5000 0.5000
Hg 0.0000 0.0000 0.0000
Rb 0.0000 0.5000 0.0000
Rb 0.0000 0.0000 0.5000
Rb 0.5000 0.0000 0.0000
CELL_PARAMETERS angstrom
6.6671 0.0000 0.0000
0.0000 6.6671 0.0000
0.0000 0.0000 6.6671

No. 7
! BaTe5, PBEsol geometry, DFT meta-GGA SCAN; values from VASP
! **DOS at the Fermi energy**: 0.5459 states/eV/atom
! **E_form (uncorrected)**: -0.35 eV per atom
&SYSTEM
  ibrav = 0, nat = 6, ntyp = 2
/
ATOMIC_SPECIES
Ba 137.33 Ba.upf
Te 127.60 Te.upf
ATOMIC_POSITIONS crystal
Ba 0.5000 0.5000 0.0000
Te 0.0000 0.0000 0.8603
Te 0.0000 0.0000 0.1397
Te 0.5000 0.5000 0.6320
Te 0.5000 0.5000 0.3680
Te 0.0000 0.0000 0.5000
CELL_PARAMETERS angstrom
4.4174 0.0000 0.0000
0.0000 4.4174 0.0000
0.0000 0.0000 10.3135

No. 8
! PrGaSi, PBEsol geometry, DFT meta-GGA SCAN; values from VASP
! **DOS at the Fermi energy**: 0.1364 states/eV/atom
! **E_form (uncorrected)**: -0.77 eV per atom
&SYSTEM
  ibrav = 0, nat = 6, ntyp = 3
/
ATOMIC_SPECIES
Pr 140.91 Pr.upf
Si 28.09 Si.upf
Ga 69.72 Ga.upf
ATOMIC_POSITIONS crystal
Pr 0.4995 0.9998 0.9992
Pr 0.2498 0.2495 0.4992
Si 0.9167 0.4165 0.8329
Si 0.6665 0.6668 0.3329
Ga 0.0830 0.5827 0.1661
Ga 0.8328 0.8331 0.6661
CELL_PARAMETERS angstrom
-3.8528 -0.8373 -1.3948
-1.3001 -0.5739 3.9333
0.9037 7.6188 -0.8097

Question: Which value of DOS at the Fermi energy does entry 5 give?
Answer: 0.3657 states/eV/atom

Question: Among the records above, which one has the highest DOS at the Fermi energy?
Answer: Rb3BeHg

What did the second record say?
! Y2Ga2Pb, PBEsol geometry, DFT meta-GGA SCAN; values from VASP
! **DOS at the Fermi energy**: 0.3913 states/eV/atom
! **Formation energy**: -740 meV/atom
&SYSTEM
  ibrav = 0, nat = 10, ntyp = 3
/
ATOMIC_SPECIES
Pb 207.20 Pb.upf
Y 88.91 Y.upf
Ga 69.72 Ga.upf
ATOMIC_POSITIONS crystal
Pb 0.0000 0.0000 0.0000
Pb 0.0000 0.5000 0.5000
Y 0.5000 0.1729 0.6729
Y 0.5000 0.6729 0.8271
Y 0.5000 0.8271 0.3271
Y 0.5000 0.3271 0.1729
Ga 0.0000 0.3788 0.8788
Ga 0.0000 0.8788 0.6212
Ga 0.0000 0.6212 0.1212
Ga 0.0000 0.1212 0.3788
CELL_PARAMETERS angstrom
-3.5237 2.1521 -1.2037
-3.5843 -2.6237 5.8018
2.1689 5.7567 3.9432